## w
# ScTaOs2 | Alexandria | SCAN | PBEsol geometry
# - volume (Å³ per cell) = 66.1
# - crystal system = tetragonal
data_ScTaOs2
_cell_length_a 2.794
_cell_length_b 2.794
_cell_length_c 8.474
_cell_angle_alpha 90.00
_cell_angle_beta 90.00
_cell_angle_gamma 90.00
_space_group_name_H-M_alt 'P 4 m m'
_space_group_IT_number 99
loop_
_space_group_symop_operation_xyz
'x,y,z'
'-y,x,z'
'-x,-y,z'
'y,-x,z'
'-x,y,z'
'y,x,z'
'x,-y,z'
'-y,-x,z'
loop_
_atom_site_label
_atom_site_type_symbol
_atom_site_fract_x
_atom_site_fract_y
_atom_site_fract_z
Sc1 Sc 0.000 0.000 0.000
Ta1 Ta 0.500 0.500 0.294
Os1 Os 0.000 0.000 0.548
Os2 Os 0.500 0.500 0.746


## x
# ScTaOs2 | Alexandria | SCAN | PBEsol geometry
# - volume (Å³ per cell) = 63.5
# - crystal system = monoclinic
data_ScTaOs2
_cell_length_a 2.817
_cell_length_b 4.474
_cell_length_c 5.159
_cell_angle_alpha 90.00
_cell_angle_beta 102.38
_cell_angle_gamma 90.00
_space_group_name_H-M_alt 'P 1 m 1'
_space_group_IT_number 6
loop_
_space_group_symop_operation_xyz
'x,y,z'
'x,-y,z'
loop_
_atom_site_label
_atom_site_type_symbol
_atom_site_fract_x
_atom_site_fract_y
_atom_site_fract_z
Sc1 Sc 0.000 0.000 0.000
Ta1 Ta 0.730 0.500 0.277
Os1 Os 0.249 0.500 0.783
Os2 Os 0.511 0.000 0.500


Short version: x is the most stable of them.


## w
# ScTaOs2 | Alexandria | SCAN | PBEsol geometry
# - volume (Å³ per cell) = 63.1
# - crystal system = tetragonal
data_ScTaOs2
_cell_length_a 4.475
_cell_length_b 4.475
_cell_length_c 3.150
_cell_angle_alpha 90.00
_cell_angle_beta 90.00
_cell_angle_gamma 90.00
_space_group_name_H-M_alt 'P 4/m m m'
_space_group_IT_number 123
_space_group_name_Hall '-P 4 2'
loop_
_atom_site_label
_atom_site_type_symbol
_atom_site_fract_x
_atom_site_fract_y
_atom_site_fract_z
Sc1 Sc 0.000 0.000 0.000
Ta1 Ta 0.500 0.500 0.000
Os1 Os 0.000 0.500 0.500


## x
# ScTaOs2 | Alexandria | SCAN | PBEsol geometry
# - volume (Å³ per cell) = 251.8
# - crystal system = cubic
data_ScTaOs2
_cell_length_a 6.314
_cell_length_b 6.314
_cell_length_c 6.314
_cell_angle_alpha 90.00
_cell_angle_beta 90.00
_cell_angle_gamma 90.00
_space_group_name_H-M_alt 'F m -3 m'
_space_group_IT_number 225
_space_group_name_Hall '-F 4 2 3'
loop_
_atom_site_label
_atom_site_type_symbol
_atom_site_fract_x
_atom_site_fract_y
_atom_site_fract_z
Sc1 Sc 0.000 0.000 0.000
Ta1 Ta 0.000 0.000 0.500
Os1 Os 0.250 0.250 0.250


Short version: x is the most stable of them.


## w
# ScTe2Os | Alexandria | SCAN | PBEsol geometry
# - volume (Å³ per cell) = 169.3
# - crystal system = orthorhombic
data_ScTe2Os
_cell_length_a 3.244
_cell_length_b 4.556
_cell_length_c 11.454
_cell_angle_alpha 90.00
_cell_angle_beta 90.00
_cell_angle_gamma 90.00
_space_group_name_H-M_alt 'I m m 2'
_space_group_IT_number 44
loop_
_space_group_symop_operation_xyz
'x,y,z'
'-x,-y,z'
'-x,y,z'
'x,-y,z'
'x+1/2,y+1/2,z+1/2'
'-x+1/2,-y+1/2,z+1/2'
'-x+1/2,y+1/2,z+1/2'
'x+1/2,-y+1/2,z+1/2'
loop_
_atom_site_label
_atom_site_type_symbol
_atom_site_fract_x
_atom_site_fract_y
_atom_site_fract_z
Sc1 Sc 0.000 0.000 0.000
Te1 Te 0.000 0.000 0.605
Te2 Te 0.000 0.500 0.827
Os1 Os 0.000 0.500 0.296


## x
# ScTe2Os | Alexandria | SCAN | PBEsol geometry
# - volume (Å³ per cell) = 180.2
# - crystal system = orthorhombic
data_ScTe2Os
_cell_length_a 5.856
_cell_length_b 7.391
_cell_length_c 4.163
_cell_angle_alpha 90.00
_cell_angle_beta 90.00
_cell_angle_gamma 90.00
_space_group_name_H-M_alt 'C m m m'
_space_group_IT_number 65
_space_group_name_Hall '-C 2 2'
loop_
_atom_site_label
_atom_site_type_symbol
_atom_site_fract_x
_atom_site_fract_y
_atom_site_fract_z
Sc1 Sc 0.000 0.000 0.000
Te1 Te 0.000 0.286 0.500
Os1 Os 0.000 0.500 0.000


## y
# ScTe2Os | Alexandria | SCAN | PBEsol geometry
# - volume (Å³ per cell) = 253.4
# - crystal system = trigonal
data_ScTe2Os
_cell_length_a 3.2217
_cell_length_b 3.2217
_cell_length_c 28.1881
_cell_angle_alpha 90.00
_cell_angle_beta 90.00
_cell_angle_gamma 120.00
_space_group_name_H-M_alt 'R -3 m'
_space_group_IT_number 166
_space_group_name_Hall '-R 3 2"'
loop_
_atom_site_label
_atom_site_type_symbol
_atom_site_fract_x
_atom_site_fract_y
_atom_site_fract_z
Sc1 Sc 0.0000 0.0000 0.0000
Te1 Te 0.0000 0.0000 0.4111
Os1 Os 0.0000 0.0000 0.5000


Short version: w is the most stable of them.


## w
# ScOsW2 | Alexandria | SCAN | PBEsol geometry
# - volume (Å³ per cell) = 248.6
# - crystal system = cubic
data_ScOsW2
_cell_length_a 6.287
_cell_length_b 6.287
_cell_length_c 6.287
_cell_angle_alpha 90.00
_cell_angle_beta 90.00
_cell_angle_gamma 90.00
_space_group_name_H-M_alt 'F m -3 m'
_space_group_IT_number 225
_space_group_name_Hall '-F 4 2 3'
loop_
_atom_site_label
_atom_site_type_symbol
_atom_site_fract_x
_atom_site_fract_y
_atom_site_fract_z
Sc1 Sc 0.000 0.000 0.000
Os1 Os 0.000 0.000 0.500
W1 W 0.250 0.250 0.250


## x
# ScOsW2 | Alexandria | SCAN | PBEsol geometry
# - volume (Å³ per cell) = 64.1
# - crystal system = tetragonal
data_ScOsW2
_cell_length_a 3.148
_cell_length_b 3.148
_cell_length_c 6.467
_cell_angle_alpha 90.00
_cell_angle_beta 90.00
_cell_angle_gamma 90.00
_space_group_name_H-M_alt 'P 4 m m'
_space_group_IT_number 99
loop_
_space_group_symop_operation_xyz
'x,y,z'
'-y,x,z'
'-x,-y,z'
'y,-x,z'
'-x,y,z'
'y,x,z'
'x,-y,z'
'-y,-x,z'
loop_
_atom_site_label
_atom_site_type_symbol
_atom_site_fract_x
_atom_site_fract_y
_atom_site_fract_z
Sc1 Sc 0.000 0.000 0.000
Os1 Os 0.500 0.500 0.739
W1 W 0.000 0.000 0.503
W2 W 0.500 0.500 0.268


Short version: x is the most stable of them.


## w
# YScOs | Alexandria | SCAN | PBEsol geometry
# - volume (Å³ per cell) = 130.9
# - crystal system = tetragonal
data_YScOs
_cell_length_a 3.263
_cell_length_b 3.263
_cell_length_c 12.293
_cell_angle_alpha 90.00
_cell_angle_beta 90.00
_cell_angle_gamma 90.00
_space_group_name_H-M_alt 'I 4 m m'
_space_group_IT_number 107
_space_group_name_Hall 'I 4 -2'
loop_
_atom_site_label
_atom_site_type_symbol
_atom_site_fract_x
_atom_site_fract_y
_atom_site_fract_z
Y1 Y 0.000 0.000 0.000
Sc1 Sc 0.000 0.000 0.258
Os1 Os 0.000 0.000 0.640


## x
# YScOs | Alexandria | SCAN | PBEsol geometry
# - volume (Å³ per cell) = 64.4
# - crystal system = trigonal
data_YScOs
_cell_length_a 3.2521
_cell_length_b 3.2521
_cell_length_c 7.0331
_cell_angle_alpha 90.00
_cell_angle_beta 90.00
_cell_angle_gamma 120.00
_space_group_name_H-M_alt 'P 3 m 1'
_space_group_IT_number 156
loop_
_space_group_symop_operation_xyz
'x,y,z'
'-y,x-y,z'
'-x+y,-x,z'
'-y,-x,z'
'-x+y,y,z'
'x,x-y,z'
loop_
_atom_site_label
_atom_site_type_symbol
_atom_site_fract_x
_atom_site_fract_y
_atom_site_fract_z
Y1 Y 0.0000 0.0000 0.0000
Sc1 Sc 0.6667 0.3333 0.4334
Os1 Os 0.3333 0.6667 0.6986


Short version: w is the most stable of them.


## w
# YSc2Os | Alexandria | SCAN | PBEsol geometry
# - volume (Å³ per cell) = 171.2
# - crystal system = orthorhombic
data_YSc2Os
_cell_length_a 3.357
_cell_length_b 4.978
_cell_length_c 10.243
_cell_angle_alpha 90.00
_cell_angle_beta 90.00
_cell_angle_gamma 90.00
_space_group_name_H-M_alt 'I m m m'
_space_group_IT_number 71
_space_group_name_Hall '-I 2 2'
loop_
_atom_site_label
_atom_site_type_symbol
_atom_site_fract_x
_atom_site_fract_y
_atom_site_fract_z
Y1 Y 0.000 0.000 0.000
Sc1 Sc 0.000 0.500 0.202
Os1 Os 0.000 0.000 0.500


## x
# YSc2Os | Alexandria | SCAN | PBEsol geometry
# - volume (Å³ per cell) = 87.2
# - crystal system = tetragonal
data_YSc2Os
_cell_length_a 3.215
_cell_length_b 3.215
_cell_length_c 8.443
_cell_angle_alpha 90.00
_cell_angle_beta 90.00
_cell_angle_gamma 90.00
_space_group_name_H-M_alt 'P 4/m m m'
_space_group_IT_number 123
_space_group_name_Hall '-P 4 2'
loop_
_atom_site_label
_atom_site_type_symbol
_atom_site_fract_x
_atom_site_fract_y
_atom_site_fract_z
Y1 Y 0.000 0.000 0.000
Sc1 Sc 0.500 0.500 0.320
Os1 Os 0.000 0.000 0.500


## y
# YSc2Os | Alexandria | SCAN | PBEsol geometry
# - volume (Å³ per cell) = 168.7
# - crystal system = orthorhombic
data_YSc2Os
_cell_length_a 3.381
_cell_length_b 4.850
_cell_length_c 10.285
_cell_angle_alpha 90.00
_cell_angle_beta 90.00
_cell_angle_gamma 90.00
_space_group_name_H-M_alt 'I m m 2'
_space_group_IT_number 44
loop_
_space_group_symop_operation_xyz
'x,y,z'
'-x,-y,z'
'-x,y,z'
'x,-y,z'
'x+1/2,y+1/2,z+1/2'
'-x+1/2,-y+1/2,z+1/2'
'-x+1/2,y+1/2,z+1/2'
'x+1/2,-y+1/2,z+1/2'
loop_
_atom_site_label
_atom_site_type_symbol
_atom_site_fract_x
_atom_site_fract_y
_atom_site_fract_z
Y1 Y 0.000 0.000 0.000
Sc1 Sc 0.000 0.000 0.592
Sc2 Sc 0.000 0.500 0.791
Os1 Os 0.000 0.500 0.285


Short version: x is the most stable of them.